(1)
ScNbCuSb (PBE-GGA, relaxed); energy above the most stable polymorph in this dataset = 0.000 eV/atom; raw total energy = -0.2172 Ha/atom
1.0
0.000 3.331 3.331
3.331 0.000 3.331
3.331 3.331 0.000
Sc Nb Cu Sb
1 1 1 1
direct
0.000 0.000 0.000
0.250 0.250 0.250
0.750 0.750 0.750
0.500 0.500 0.500

---

(2)
LiUTlTe3 (PBE-GGA, relaxed); raw total energy = -0.1772 Ha/atom
1.0
2.228 -7.526 0.000
2.228 7.526 0.000
0.000 0.000 11.627
Li U Tl Te
2 2 2 6
direct
0.039 0.961 0.750
0.961 0.039 0.250
0.500 0.500 0.000
0.500 0.500 0.500
0.247 0.753 0.250
0.753 0.247 0.750
0.135 0.865 0.550
0.135 0.865 0.950
0.433 0.567 0.750
0.567 0.433 0.250
0.865 0.135 0.050
0.865 0.135 0.450

---

(3)
Li2DyCuP2 (PBE-GGA, relaxed); raw total energy = -0.1690 Ha/atom
1.0
4.063 0.000 0.000
-2.031 3.518 0.000
0.000 0.000 6.412
Li Dy Cu P
2 1 1 2
direct
0.333 0.667 0.145
0.667 0.333 0.855
0.000 0.000 0.500
0.000 0.000 0.000
0.333 0.667 0.756
0.667 0.333 0.244

---

(4)
GaOs2O4 (PBE-GGA, relaxed); raw total energy = -0.2547 Ha/atom
1.0
0.000 4.309 4.309
4.309 0.000 4.309
4.309 4.309 0.000
Ga Os O
2 4 8
direct
0.125 0.125 0.125
0.875 0.875 0.875
0.000 0.500 0.500
0.500 0.000 0.500
0.500 0.500 0.000
0.500 0.500 0.500
0.254 0.254 0.254
0.254 0.254 0.739
0.254 0.739 0.254
0.261 0.746 0.746
0.739 0.254 0.254
0.746 0.261 0.746
0.746 0.746 0.261
0.746 0.746 0.746